Here is a relaxed structure of NpTl2S3 from the Open Quantum Materials Database. Energies are from PBE.

a = 7.814 Å, b = 7.814 Å, c = 11.625 Å
α = 90.00°, β = 90.00°, γ = 149.91°
Sites, in units of the cell vectors:
Np  0.000  0.000  0.000
Np  0.000  0.000  0.500
Tl  0.348  0.652  0.750
Tl  0.351  0.649  0.250
Tl  0.649  0.351  0.750
Tl  0.652  0.348  0.250
S  0.002  0.998  0.250
S  0.386  0.614  0.000
S  0.386  0.614  0.500
S  0.614  0.386  0.000
S  0.614  0.386  0.500
S  0.998  0.002  0.750

## Properties
The value obtained for the final energy is -69.48 eV for the cell shown.



Here is a relaxed structure of NbCo2Sn from the Open Quantum Materials Database. Energies are from PBE.

a = 4.356 Å, b = 4.356 Å, c = 4.356 Å
α = 60.00°, β = 60.00°, γ = 60.00°
Sites, in units of the cell vectors:
Nb  0.000  0.000  0.000
Co  0.250  0.250  0.250
Co  0.750  0.750  0.750
Sn  0.500  0.500  0.500

## Properties
The value obtained for the final energy is -28.68 eV for the cell shown.



Here is a relaxed structure of YHoAlNi2 from the Open Quantum Materials Database. Energies are from PBE.

a = 5.373 Å, b = 5.373 Å, c = 5.373 Å
α = 134.26°, β = 119.85°, γ = 78.72°
Sites, in units of the cell vectors:
Y  0.000  0.000  0.000
Ho  0.409  0.409  0.000
Al  0.704  0.204  0.500
Ni  0.438  0.704  0.733
Ni  0.971  0.704  0.267

## Properties
The value obtained for the final energy is -28.70 eV for the cell shown.